Entry 1:
{"formula": "PmTm2Cu6", "functional": "PBE", "state": "optimized geometry", "cell": [[3.578, 0.000, 0.000], [0.000, 6.334, -3.657], [0.000, 0.000, 7.314]], "species": ["Cu", "Cu", "Cu", "Cu", "Cu", "Cu", "Tm", "Tm", "Pm"], "fractional_positions": [[0.500, 0.336, 0.336], [0.500, 0.664, 0.000], [0.500, 0.000, 0.664], [0.500, 0.336, 0.000], [0.500, 0.000, 0.336], [0.500, 0.664, 0.664], [0.000, 0.667, 0.333], [0.000, 0.333, 0.667], [0.000, 0.000, 0.000]], "ef_ev_per_atom": -0.25, "final_energy_ev_per_cell": -40.49, "dos_ef_per_ev_cell": 5.09, "rho_g_cm3": 8.66}


Entry 2:
{"formula": "TaHg2Au", "functional": "PBE", "state": "optimized geometry", "cell": [[4.442, 0.000, 0.000], [0.000, 2.942, 0.039], [0.000, 1.484, 6.150]], "species": ["Hg", "Hg", "Au", "Ta"], "fractional_positions": [[0.000, 0.810, 0.006], [0.500, 0.193, 0.253], [0.500, 0.948, 0.715], [0.000, 0.549, 0.526]], "ef_ev_per_atom": 0.30, "final_energy_ev_per_cell": -14.53, "dos_ef_per_ev_cell": 1.82, "rho_g_cm3": 16.15}


Entry 3:
{"formula": "Pm2CrGa6", "functional": "PBE", "state": "optimized geometry", "cell": [[-5.981, -1.888, 0.339], [-2.963, -0.066, 5.538], [-4.547, 4.170, 1.179]], "species": ["Ga", "Ga", "Ga", "Ga", "Ga", "Ga", "Pm", "Pm", "Cr"], "fractional_positions": [[0.718, 0.718, 0.282], [0.282, 0.718, 0.282], [0.718, 0.282, 0.718], [0.282, 0.282, 0.718], [0.718, 0.282, 0.282], [0.282, 0.718, 0.718], [0.750, 0.750, 0.750], [0.250, 0.250, 0.250], [0.000, 0.000, 0.000]], "ef_ev_per_atom": -0.50, "final_energy_ev_per_cell": -41.79, "dos_ef_per_ev_cell": 4.87, "rho_g_cm3": 7.21}